# NdCo5C2

An optimized crystal structure of NdCo5C2 (PBE, Alexandria via LeMat-Bulk).

Values from the calculation:
**Electronic total energy**: -7.2543 eV per atom

Structure (POSCAR):
```
NdCo5C2
1.0
-1.754 3.021 4.141
1.754 -3.021 4.141
1.754 3.021 -4.141
Nd Co C
1 5 2
Cartesian
0.000 0.000 0.000
1.754 1.854 -1.341
1.754 1.854 1.341
0.000 3.021 0.000
0.000 1.167 2.800
0.000 1.167 5.481
1.754 0.000 2.211
0.000 3.021 1.930
```

# NdCo7C2

An optimized crystal structure of NdCo7C2 (PBE, Alexandria via LeMat-Bulk).

Values from the calculation:
**Electronic total energy**: -6.9977 eV per atom

Structure (POSCAR):
```
NdCo7C2
1.0
3.040 -5.219 0.000
3.040 5.219 0.000
0.000 0.000 3.917
Nd Co C
1 7 2
Cartesian
0.000 0.000 0.000
1.194 1.533 1.959
3.040 2.122 0.000
1.194 -1.533 1.959
3.040 0.000 1.959
4.886 1.533 1.959
3.040 -2.122 0.000
4.886 -1.533 1.959
3.040 2.030 1.959
3.040 -2.030 1.959
```

# Nd2CoC4

An optimized crystal structure of Nd2CoC4 (PBE, Alexandria via LeMat-Bulk).

Values from the calculation:
**Electronic total energy**: -7.8139 eV per atom

Structure (POSCAR):
```
Nd2CoC4
1.0
-3.751 5.116 2.624
3.751 -5.116 2.624
3.751 5.116 -2.624
Nd Co C
4 2 8
Cartesian
1.241 1.477 0.000
1.241 -1.477 2.624
2.511 6.593 0.000
2.511 3.639 2.624
3.751 0.000 1.312
0.000 5.116 1.312
4.972 0.792 0.000
6.239 1.268 0.000
2.488 3.848 0.000
1.221 4.324 0.000
2.530 0.792 2.624
1.263 1.268 2.624
-2.488 3.848 2.624
-1.221 4.324 2.624
```

# NdCo2PC

An optimized crystal structure of NdCo2PC (PBE, Alexandria via LeMat-Bulk).

Values from the calculation:
**Electronic total energy**: -7.2825 eV per atom

Structure (POSCAR):
```
NdCo2PC
1.0
1.903 -5.258 0.000
1.903 5.258 0.000
0.000 0.000 6.741
Nd Co P C
2 4 2 2
Cartesian
1.903 4.747 5.056
1.903 -4.747 1.685
1.903 1.748 3.744
1.903 1.748 6.368
1.903 -1.748 0.373
1.903 -1.748 2.997
1.903 2.860 1.685
1.903 -2.860 5.056
1.903 0.000 0.000
1.903 0.000 3.370
```

# Nd2Co2P2C

An optimized crystal structure of Nd2Co2P2C (PBE, Alexandria via LeMat-Bulk).

Values from the calculation:
**Electronic total energy**: -7.0673 eV per atom

Structure (POSCAR):
```
Nd2Co2P2C
1.0
5.379 -1.923 0.000
5.379 1.923 0.000
-3.990 0.000 5.507
Nd Co P C
2 2 2 1
Cartesian
-0.580 0.000 1.714
7.348 0.000 3.794
-0.347 0.000 5.104
7.115 0.000 0.403
2.317 0.000 1.462
4.452 0.000 4.046
5.379 0.000 0.000
```

# Nd2ZnCoC

An optimized crystal structure of Nd2ZnCoC (PBE, Alexandria via LeMat-Bulk).

Values from the calculation:
**Electronic total energy**: -5.6762 eV per atom

Structure (POSCAR):
```
Nd2ZnCoC
1.0
5.243 0.000 0.000
0.000 5.243 0.000
0.000 0.000 3.638
Nd Zn Co C
2 1 1 1
Cartesian
0.000 2.621 0.000
2.621 0.000 0.000
0.000 0.000 1.819
2.621 2.621 1.819
2.621 2.621 0.000
```

# Nd2Zn2Co2C

An optimized crystal structure of Nd2Zn2Co2C (PBE, Alexandria via LeMat-Bulk).

Values from the calculation:
**Electronic total energy**: -5.3034 eV per atom

Structure (POSCAR):
```
Nd2Zn2Co2C
1.0
5.501 -2.052 0.000
5.501 2.052 0.000
-4.658 0.000 5.508
Nd Zn Co C
2 2 2 1
Cartesian
-0.749 0.000 1.574
7.092 0.000 3.934
2.398 0.000 1.566
3.946 0.000 3.942
-0.850 0.000 5.033
7.194 0.000 0.476
5.501 0.000 0.000
```

# Co3NiC

An optimized crystal structure of Co3NiC (PBE, Alexandria via LeMat-Bulk).

Values from the calculation:
**Electronic total energy**: -4.9849 eV per atom

Structure (POSCAR):
```
Co3NiC
1.0
4.219 0.000 0.000
0.000 4.219 0.000
0.000 0.000 4.219
Co Ni C
3 1 1
Cartesian
0.000 0.000 2.110
0.000 2.110 0.000
2.110 0.000 0.000
0.000 0.000 0.000
2.110 2.110 2.110
```

# Co2Ni2C

An optimized crystal structure of Co2Ni2C (PBE, Alexandria via LeMat-Bulk).

Values from the calculation:
**Electronic total energy**: -6.5531 eV per atom

Structure (POSCAR):
```
Co2Ni2C
1.0
4.990 0.000 0.000
0.000 4.990 0.000
0.000 0.000 4.212
Co Ni C
4 4 2
Cartesian
0.813 1.681 0.000
1.681 4.176 0.000
3.308 0.813 0.000
4.176 3.308 0.000
0.844 3.339 2.106
1.651 0.844 2.106
3.339 4.145 2.106
4.145 1.651 2.106
0.000 0.000 2.106
2.495 2.495 2.106
```

# Co2Ni2C

An optimized crystal structure of Co2Ni2C (PBE, Alexandria via LeMat-Bulk).

Values from the calculation:
**Electronic total energy**: -5.8019 eV per atom

Structure (POSCAR):
```
Co2Ni2C
1.0
-1.500 1.500 6.261
1.500 -1.500 6.261
1.500 1.500 -6.261
Co Ni C
2 2 1
Cartesian
1.500 0.000 3.131
0.000 1.500 3.131
0.000 0.000 1.127
0.000 0.000 11.395
0.000 0.000 6.261
```

# Co2NiC

An optimized crystal structure of Co2NiC (PBE, Alexandria via LeMat-Bulk).

Values from the calculation:
**Electronic total energy**: -6.9684 eV per atom

Structure (POSCAR):
```
Co2NiC
1.0
-3.062 3.062 2.106
3.062 -3.062 2.106
3.062 3.062 -2.106
Co Ni C
4 2 2
Cartesian
4.593 0.926 -0.527
0.926 1.531 0.527
-1.531 2.136 1.580
2.136 1.531 2.633
3.062 0.000 1.053
0.000 0.000 2.106
0.000 0.000 0.000
0.000 3.062 1.053
```

# CoNiC3

An optimized crystal structure of CoNiC3 (PBE, Alexandria via LeMat-Bulk).

Values from the calculation:
**Electronic total energy**: -5.9524 eV per atom

Structure (POSCAR):
```
CoNiC3
1.0
3.672 0.000 0.000
0.000 3.672 0.000
0.000 0.000 3.672
Co Ni C
1 1 3
Cartesian
0.000 0.000 0.000
1.836 1.836 1.836
0.000 0.000 1.836
0.000 1.836 0.000
1.836 0.000 0.000
```

# Co2NiC

An optimized crystal structure of Co2NiC (PBE, Alexandria via LeMat-Bulk).

Values from the calculation:
**Electronic total energy**: -7.0129 eV per atom

Structure (POSCAR):
```
Co2NiC
1.0
1.328 0.766 6.348
-1.328 0.766 6.348
0.000 -1.533 6.348
Co Ni C
2 1 1
Cartesian
0.000 0.000 4.292
0.000 0.000 14.752
0.000 0.000 0.000
0.000 0.000 9.522
```

# CoNi2C2

An optimized crystal structure of CoNi2C2 (PBE, Alexandria via LeMat-Bulk).

Values from the calculation:
**Electronic total energy**: -7.0275 eV per atom

Structure (POSCAR):
```
CoNi2C2
1.0
4.934 0.000 0.000
0.000 4.934 0.000
0.000 0.000 3.642
Co Ni C
2 4 4
Cartesian
0.000 0.000 0.000
2.467 2.467 0.000
0.948 1.519 1.821
1.519 3.986 1.821
3.414 0.948 1.821
3.986 3.414 1.821
0.509 1.958 0.000
1.958 4.424 0.000
2.976 0.509 0.000
4.424 2.976 0.000
```

# CoNi2C2

An optimized crystal structure of CoNi2C2 (PBE, Alexandria via LeMat-Bulk).

Values from the calculation:
**Electronic total energy**: -6.8645 eV per atom

Structure (POSCAR):
```
CoNi2C2
1.0
-1.686 1.686 3.790
1.686 -1.686 3.790
1.686 1.686 -3.790
Co Ni C
1 2 2
Cartesian
0.000 0.000 0.000
1.686 0.000 1.895
0.000 1.686 1.895
0.000 0.000 3.073
0.000 0.000 4.506
```

# Co3NiC

An optimized crystal structure of Co3NiC (PBE, Alexandria via LeMat-Bulk).

Values from the calculation:
**Electronic total energy**: -7.0666 eV per atom

Structure (POSCAR):
```
Co3NiC
1.0
3.709 0.000 0.000
0.000 3.709 0.000
0.000 0.000 3.709
Co Ni C
3 1 1
Cartesian
0.000 0.000 1.854
0.000 1.854 0.000
1.854 0.000 0.000
1.854 1.854 1.854
0.000 0.000 0.000
```

# CoNiC3

An optimized crystal structure of CoNiC3 (PBE, Alexandria via LeMat-Bulk).

Values from the calculation:
**Electronic total energy**: -5.6592 eV per atom

Structure (POSCAR):
```
CoNiC3
1.0
3.679 0.000 0.000
0.000 3.679 0.000
0.000 0.000 3.679
Co Ni C
1 1 3
Cartesian
0.000 0.000 0.000
1.840 1.840 1.840
0.000 1.840 1.840
1.840 0.000 1.840
1.840 1.840 0.000
```